LiTl3Hg | GGA-PBE | optimized geometry

E above lowest polymorph   0.0 meV/atom
Space group   Pm-3m, No. 221
DFT formation energy   0.07 eV/atom

Geometry as extended XYZ:
```
5
Lattice="5.238 0.000 0.000 0.000 5.238 0.000 0.000 0.000 5.238" Properties=species:S:1:pos:R:3 pbc="T T T"
Tl 0.000 0.000 2.619
Tl 2.619 0.000 0.000
Tl 0.000 2.619 0.000
Li 0.000 0.000 0.000
Hg 2.619 2.619 2.619
```